1.
Density functional theory data (GGA-PBEsol) for an optimized crystal structure of BaAlAu2.

total moment	0.0	μB per cell
space-group type	Immm, No. 71
energy of formation from the pure elements	-365	meV per atom

Lattice parameters (Å, degrees): 4.4371 5.3154 5.3154 67.87 65.33 65.33
Fractional positions:
Au  0.3120  0.6880  0.6880
Au  0.6880  0.3120  0.3120
Ba  0.5000  0.0000  0.0000
Al  0.0000  0.5000  0.5000

---

2.
Density functional theory data (GGA-PBEsol) for an optimized crystal structure of BaAl3Au.

total moment	0.0	μB per cell
space-group type	Pm-3m, No. 221
energy of formation from the pure elements	-19	meV per atom

Lattice parameters (Å, degrees): 5.0138 5.0138 5.0138 90.00 90.00 90.00
Fractional positions:
Au  0.0000  0.0000  0.0000
Ba  0.5000  0.5000  0.5000
Al  0.0000  0.5000  0.0000
Al  0.0000  0.0000  0.5000
Al  0.5000  0.0000  0.0000

---

3.
Density functional theory data (GGA-PBEsol) for an optimized crystal structure of BaAlAu2.

total moment	0.0	μB per cell
space-group type	Cm, No. 8
energy of formation from the pure elements	-522	meV per atom

Lattice parameters (Å, degrees): 4.4525 4.4542 6.4666 109.90 90.00 119.99
Fractional positions:
Au  0.0305  0.0611  0.0913
Au  0.2989  0.5978  0.8940
Ba  0.4904  0.9809  0.4757
Al  0.6801  0.3602  0.0390

---

4.
Density functional theory data (GGA-PBEsol) for an optimized crystal structure of BaAlAu2.

total moment	0.0	μB per cell
space-group type	P4/mmm, No. 123
energy of formation from the pure elements	-387	meV per atom

Lattice parameters (Å, degrees): 3.3479 3.3479 7.7568 90.00 90.00 90.00
Fractional positions:
Au  0.0000  0.0000  0.6841
Au  0.0000  0.0000  0.3159
Ba  0.5000  0.5000  0.0000
Al  0.5000  0.5000  0.5000

---

5.
Density functional theory data (GGA-PBEsol) for an optimized crystal structure of BaAlSbAu2.

total moment	0.9	μB per cell
space-group type	P4/mmm, No. 123
raw formation energy	24.5	kcal/mol of atoms

Lattice parameters (Å, degrees): 5.8434 5.8434 6.2014 90.00 90.00 90.00
Fractional positions:
Sb  0.0000  0.0000  0.5000
Au  0.0000  0.5000  0.0000
Au  0.5000  0.0000  0.0000
Ba  0.0000  0.0000  0.0000
Al  0.5000  0.5000  0.5000

---

6.
Density functional theory data (GGA-PBEsol) for an optimized crystal structure of BeAlAu.

total moment	0.0	μB per cell
space-group type	P3m1, No. 156
energy of formation from the pure elements	11	meV per atom

Lattice parameters (Å, degrees): 2.8598 2.8598 5.9796 90.00 90.00 120.00
Fractional positions:
Be  0.3333  0.6667  0.3390
Au  0.6667  0.3333  0.6445
Al  0.0000  0.0000  0.0165